Record 1
# NaTl2Bi (GGA-PBE, relaxed)
# - ΔE to the lowest computed polymorph: 138 meV/atom
# - Spin magnetization: 0.00 μB per cell
# - D(E_F): 0.603 states/eV/atom
# - Density: 7.787 g/cm3
# - Energy of formation from the pure elements: -0.1 eV per formula unit
# - Volume: 136.6 Å³/f.u.
data_NaTl2Bi
_space_group_name_H-M_alt 'P 1'
_space_group_IT_number 1
_cell_length_a 9.247
_cell_length_b 9.247
_cell_length_c 7.278
_cell_angle_alpha 50.56
_cell_angle_beta 50.56
_cell_angle_gamma 90.00
loop_
_space_group_symop_operation_xyz
'x,y,z'
loop_
_atom_site_label
_atom_site_type_symbol
_atom_site_fract_x
_atom_site_fract_y
_atom_site_fract_z
Na1 Na 0.500 0.500 0.000
Na2 Na 0.250 0.750 0.500
Tl1 Tl 0.655 0.125 0.250
Tl2 Tl 0.095 0.625 0.250
Tl3 Tl 0.375 0.345 0.750
Tl4 Tl 0.875 0.905 0.750
Bi1 Bi 0.000 0.000 0.000
Bi2 Bi 0.750 0.250 0.500



Record 2
# Na3TlBi (GGA-PBE, relaxed)
# - ΔE to the lowest computed polymorph: 246 meV/atom
# - Spin magnetization: 0.00 μB per cell
# - D(E_F): 0.929 states/eV/atom
# - Density: 3.753 g/cm3
# - Energy of formation from the pure elements: -0.1 eV per formula unit
# - Volume: 213.4 Å³/f.u.
data_Na3TlBi
_space_group_name_H-M_alt 'P 1'
_space_group_IT_number 1
_cell_length_a 5.976
_cell_length_b 5.976
_cell_length_c 5.976
_cell_angle_alpha 90.00
_cell_angle_beta 90.00
_cell_angle_gamma 90.00
loop_
_space_group_symop_operation_xyz
'x,y,z'
loop_
_atom_site_label
_atom_site_type_symbol
_atom_site_fract_x
_atom_site_fract_y
_atom_site_fract_z
Na1 Na 0.000 0.500 0.000
Na2 Na 0.000 0.000 0.500
Na3 Na 0.500 0.000 0.000
Tl1 Tl 0.500 0.500 0.500
Bi1 Bi 0.000 0.000 0.000



Record 3
# Na2Tl8Bi (GGA-PBE, relaxed)
# - ΔE to the lowest computed polymorph: 60 meV/atom
# - Spin magnetization: 0.00 μB per cell
# - D(E_F): 0.451 states/eV/atom
# - Density: 8.270 g/cm3
# - Energy of formation from the pure elements: 0.2 eV per formula unit
# - Volume: 379.5 Å³/f.u.
data_Na2Tl8Bi
_space_group_name_H-M_alt 'P 1'
_space_group_IT_number 1
_cell_length_a 5.658
_cell_length_b 8.456
_cell_length_c 8.456
_cell_angle_alpha 77.68
_cell_angle_beta 77.42
_cell_angle_gamma 77.42
loop_
_space_group_symop_operation_xyz
'x,y,z'
loop_
_atom_site_label
_atom_site_type_symbol
_atom_site_fract_x
_atom_site_fract_y
_atom_site_fract_z
Na1 Na 0.446 0.140 0.140
Na2 Na 0.554 0.860 0.860
Tl1 Tl 0.798 0.187 0.656
Tl2 Tl 0.202 0.344 0.813
Tl3 Tl 0.872 0.262 0.262
Tl4 Tl 0.128 0.738 0.738
Tl5 Tl 0.798 0.656 0.187
Tl6 Tl 0.202 0.813 0.344
Tl7 Tl 0.286 0.409 0.409
Tl8 Tl 0.714 0.591 0.591
Bi1 Bi 0.000 0.000 0.000



Record 4
# Na6Tl12Bi (GGA-PBE, relaxed)
# - Spin magnetization: 0.00 μB per cell
# - D(E_F): 0.402 states/eV/atom
# - Density: 8.117 g/cm3
# - Energy of formation from the pure elements: -1.6 eV per formula unit
# - Volume: 572.7 Å³/f.u.
data_Na6Tl12Bi
_space_group_name_H-M_alt 'P 1'
_space_group_IT_number 1
_cell_length_a 8.305
_cell_length_b 8.305
_cell_length_c 8.305
_cell_angle_alpha 89.92
_cell_angle_beta 89.92
_cell_angle_gamma 89.92
loop_
_space_group_symop_operation_xyz
'x,y,z'
loop_
_atom_site_label
_atom_site_type_symbol
_atom_site_fract_x
_atom_site_fract_y
_atom_site_fract_z
Na1 Na 0.725 0.878 0.257
Na2 Na 0.743 0.275 0.122
Na3 Na 0.122 0.743 0.275
Na4 Na 0.275 0.122 0.743
Na5 Na 0.257 0.725 0.878
Na6 Na 0.878 0.257 0.725
Tl1 Tl 0.796 0.522 0.448
Tl2 Tl 0.448 0.796 0.522
Tl3 Tl 0.522 0.448 0.796
Tl4 Tl 0.204 0.478 0.552
Tl5 Tl 0.552 0.204 0.478
Tl6 Tl 0.478 0.552 0.204
Tl7 Tl 0.063 0.151 0.383
Tl8 Tl 0.849 0.617 0.937
Tl9 Tl 0.617 0.937 0.849
Tl10 Tl 0.937 0.849 0.617
Tl11 Tl 0.151 0.383 0.063
Tl12 Tl 0.383 0.063 0.151
Bi1 Bi 0.000 0.000 0.000



Record 5
# Na4TlBi2 (GGA-PBE, relaxed)
# - ΔE to the lowest computed polymorph: 0 meV/atom
# - Spin magnetization: 0.00 μB per cell
# - D(E_F): 0.472 states/eV/atom
# - Density: 5.055 g/cm3
# - Energy of formation from the pure elements: -0.7 eV per formula unit
# - Volume: 234.7 Å³/f.u.
data_Na4TlBi2
_space_group_name_H-M_alt 'P 1'
_space_group_IT_number 1
_cell_length_a 5.950
_cell_length_b 5.950
_cell_length_c 7.851
_cell_angle_alpha 112.27
_cell_angle_beta 112.27
_cell_angle_gamma 90.00
loop_
_space_group_symop_operation_xyz
'x,y,z'
loop_
_atom_site_label
_atom_site_type_symbol
_atom_site_fract_x
_atom_site_fract_y
_atom_site_fract_z
Na1 Na 0.750 0.250 0.500
Na2 Na 0.250 0.750 0.500
Na3 Na 0.500 0.000 0.000
Na4 Na 0.000 0.500 0.000
Tl1 Tl 0.000 0.000 0.000
Bi1 Bi 0.619 0.619 0.238
Bi2 Bi 0.381 0.381 0.762



Record 6
# NaTlBi (GGA-PBE, relaxed)
# - ΔE to the lowest computed polymorph: 43 meV/atom
# - Spin magnetization: 0.00 μB per cell
# - D(E_F): 0.626 states/eV/atom
# - Density: 7.913 g/cm3
# - Energy of formation from the pure elements: -0.5 eV per formula unit
# - Volume: 91.6 Å³/f.u.
data_NaTlBi
_space_group_name_H-M_alt 'P 1'
_space_group_IT_number 1
_cell_length_a 4.137
_cell_length_b 4.137
_cell_length_c 6.097
_cell_angle_alpha 109.83
_cell_angle_beta 109.83
_cell_angle_gamma 90.00
loop_
_space_group_symop_operation_xyz
'x,y,z'
loop_
_atom_site_label
_atom_site_type_symbol
_atom_site_fract_x
_atom_site_fract_y
_atom_site_fract_z
Na1 Na 0.282 0.282 0.564
Tl1 Tl 0.957 0.957 0.914
Bi1 Bi 0.611 0.611 0.222